# 1
Entry from Alexandria via LeMat-Bulk: a geometry-optimized Si3SbBr structure (GGA-PBEsol).

a b c (Å): 5.226 5.226 5.226
angles (deg): 90.00 90.00 90.00
Space group Pm-3m (No. 221)
Unique sites:
Si1 0.000 0.000 0.500 [3 per cell]
Sb1 0.000 0.000 0.000 [1 per cell]
Br1 0.500 0.500 0.500 [1 per cell]

Calculated values
Density of states at the Fermi level   1.66 states/eV per atom
Formation energy from raw total energies   1.2805 eV per atom
Volume   28.54 A^3/atom

# 2
Entry from Alexandria via LeMat-Bulk: a geometry-optimized SiSbBr2 structure (GGA-PBEsol).

a b c (Å): 4.1246 4.1246 21.9174
angles (deg): 90.00 90.00 120.00
Space group R3m (No. 160, hexagonal axes)
Unique sites:
Si1 0.0000 0.0000 0.0000 [3 per cell]
Sb1 0.0000 0.0000 0.2824 [3 per cell]
Br1 0.0000 0.0000 0.5273 [3 per cell]
Br2 0.0000 0.0000 0.7420 [3 per cell]

Calculated values
Density of states at the Fermi level   0.60 states/eV per atom
Formation energy from raw total energies   0.0462 eV per atom
Volume   26.91 A^3/atom
Relative energy among the computed polymorphs   0.000 eV/atom